No. 1
TlNi2W: optimized geometry, PBE-GGA.

Results
* ΔH_f (0 K): 292 meV/atom
* raw total energy: -6.429 eV per atom
* relative energy among the computed polymorphs: 0 meV per atom
* space group: P4/mmm, No. 123

a = 2.863 Å, b = 2.863 Å, c = 7.442 Å
α = 90.00°, β = 90.00°, γ = 90.00°
Fractional positions:
Tl 0.500 0.500 0.250
Ni 0.000 0.000 0.973
Ni 0.000 0.000 0.527
W 0.500 0.500 0.750

No. 2
TlNi2W: optimized geometry, PBE-GGA.

Results
* ΔH_f (0 K): 426 meV/atom
* raw total energy: -6.294 eV per atom
* relative energy among the computed polymorphs: 134 meV per atom
* space group: Pm, No. 6

a = 4.196 Å, b = 2.787 Å, c = 5.301 Å
α = 74.67°, β = 90.00°, γ = 90.00°
Fractional positions:
W 0.500 0.783 0.814
Tl 0.000 0.459 0.456
Ni 0.000 0.198 0.975
Ni 0.500 0.060 0.255

No. 3
TlNi2W: optimized geometry, PBE-GGA.

Results
* ΔH_f (0 K): 476 meV/atom
* raw total energy: -6.245 eV per atom
* relative energy among the computed polymorphs: 184 meV per atom
* space group: Cm, No. 8

a = 4.669 Å, b = 4.669 Å, c = 4.909 Å
α = 79.11°, β = 79.11°, γ = 35.42°
Fractional positions:
Tl 0.505 0.505 0.465
Ni 0.260 0.260 0.244
Ni 0.996 0.996 0.977
W 0.738 0.738 0.814